Compound: PW2N
Source: Alexandria
Functional: GGA-PBE
Structure: optimized geometry

Cell lengths 5.804, 5.804, 5.804 Å; angles 90.00, 90.00, 90.00 degrees
Space group Fm-3m (No. 225)
Asymmetric unit:
1 P 0.000 0.000 0.000 [4 per cell]
2 W 0.250 0.250 0.250 [8 per cell]
3 N 0.000 0.000 0.500 [4 per cell]

Results
**ΔE_f (raw)**: 0.49 eV/atom
**Crystal system**: cubic
**Raw total energy**: -150.8 eV for the cell shown
**Energy relative to the lowest polymorph listed for this composition**: 260.8 meV per atom
**M_tot**: 0.000 μB per atom
**DOS(E_F)**: 4.29 states/eV/f.u.